(1)
! LiMg6FeO8 | Alexandria via LeMat-Bulk | PBE+U | optimized geometry; values from VASP
&SYSTEM
  ibrav = 0, nat = 16, ntyp = 4
/
ATOMIC_SPECIES
Mg 24.30 Mg.upf
O 16.00 O.upf
Li 6.94 Li.upf
Fe 55.84 Fe.upf
ATOMIC_POSITIONS crystal
Mg 0.000 0.500 0.752
Mg 0.500 0.000 0.752
Mg 0.500 0.000 0.248
Mg 0.000 0.000 0.500
Mg 0.000 0.500 0.248
Mg 0.500 0.500 0.500
O 0.000 0.000 0.759
O 0.500 0.000 0.500
O 0.500 0.000 0.000
O 0.000 0.500 0.500
O 0.000 0.500 0.000
O 0.500 0.500 0.257
O 0.500 0.500 0.743
O 0.000 0.000 0.241
Li 0.500 0.500 0.000
Fe 0.000 0.000 0.000
CELL_PARAMETERS angstrom
4.210 0.000 0.000
0.000 4.210 0.000
0.000 0.000 8.567
! - Crystal system: tetragonal
! - Energy above the lowest structure with this stoichiometry: 0.000 eV per atom


(2)
! Li2MgFe3O6 | Alexandria via LeMat-Bulk | PBE+U | optimized geometry; values from VASP
&SYSTEM
  ibrav = 0, nat = 12, ntyp = 4
/
ATOMIC_SPECIES
O 16.00 O.upf
Fe 55.84 Fe.upf
Li 6.94 Li.upf
Mg 24.30 Mg.upf
ATOMIC_POSITIONS crystal
O 0.009 0.768 0.018
O 0.328 0.939 0.657
O 0.672 0.061 0.343
O 0.669 0.614 0.338
O 0.991 0.232 0.982
O 0.331 0.386 0.662
Fe 0.500 0.500 0.000
Fe 0.169 0.835 0.338
Fe 0.831 0.165 0.662
Li 0.828 0.650 0.656
Li 0.172 0.350 0.344
Mg 0.500 0.000 0.000
CELL_PARAMETERS angstrom
-2.675 0.973 -0.812
1.341 -1.120 -5.759
-1.265 -5.951 2.431
! - Crystal system: monoclinic


(3)
! LiMg30FeO32 | Alexandria via LeMat-Bulk | PBE+U | optimized geometry; values from VASP
&SYSTEM
  ibrav = 0, nat = 64, ntyp = 4
/
ATOMIC_SPECIES
Mg 24.30 Mg.upf
O 16.00 O.upf
Li 6.94 Li.upf
Fe 55.84 Fe.upf
ATOMIC_POSITIONS crystal
Mg 0.251 0.749 0.000
Mg 0.749 0.251 0.000
Mg 0.247 0.247 0.500
Mg 0.247 0.753 0.500
Mg 0.250 0.500 0.749
Mg 0.750 0.500 0.251
Mg 0.750 0.000 0.744
Mg 0.000 0.500 0.000
Mg 0.500 0.000 0.500
Mg 0.500 0.250 0.749
Mg 0.250 0.000 0.744
Mg 0.753 0.247 0.500
Mg 0.500 0.500 0.000
Mg 0.251 0.251 0.000
Mg 0.000 0.500 0.500
Mg 0.250 0.000 0.256
Mg 0.000 0.750 0.256
Mg 0.500 0.500 0.500
Mg 0.500 0.250 0.251
Mg 0.749 0.749 0.000
Mg 0.753 0.753 0.500
Mg 0.750 0.500 0.749
Mg 0.000 0.750 0.744
Mg 0.500 0.000 0.000
Mg 0.000 0.250 0.744
Mg 0.500 0.750 0.251
Mg 0.750 0.000 0.256
Mg 0.500 0.750 0.749
Mg 0.000 0.250 0.256
Mg 0.250 0.500 0.251
O 0.500 0.251 0.500
O 0.000 0.000 0.763
O 0.249 0.751 0.249
O 0.500 0.500 0.751
O 0.000 0.500 0.753
O 0.500 0.500 0.249
O 0.500 0.000 0.247
O 0.500 0.751 0.000
O 0.000 0.745 0.500
O 0.751 0.751 0.751
O 0.500 0.249 0.000
O 0.000 0.245 0.000
O 0.000 0.500 0.247
O 0.245 0.000 0.000
O 0.500 0.000 0.753
O 0.000 0.755 0.000
O 0.751 0.249 0.751
O 0.249 0.751 0.751
O 0.749 0.500 0.500
O 0.000 0.255 0.500
O 0.249 0.500 0.000
O 0.745 0.000 0.500
O 0.751 0.249 0.249
O 0.755 0.000 0.000
O 0.000 0.000 0.237
O 0.251 0.500 0.500
O 0.751 0.751 0.249
O 0.249 0.249 0.249
O 0.249 0.249 0.751
O 0.500 0.749 0.500
O 0.255 0.000 0.500
O 0.751 0.500 0.000
Li 0.000 0.000 0.500
Fe 0.000 0.000 0.000
CELL_PARAMETERS angstrom
8.507 0.000 0.000
0.000 8.507 0.000
0.000 0.000 8.510
! - Crystal system: tetragonal
! - DOS(E_F): 0.000 states/eV/f.u.


(4)
! LiMgFe10O16 | Alexandria via LeMat-Bulk | PBE+U | optimized geometry; values from VASP
&SYSTEM
  ibrav = 0, nat = 28, ntyp = 4
/
ATOMIC_SPECIES
O 16.00 O.upf
Fe 55.84 Fe.upf
Li 6.94 Li.upf
Mg 24.30 Mg.upf
ATOMIC_POSITIONS crystal
O 0.104 0.104 0.641
O 0.140 0.608 0.608
O 0.874 0.874 0.874
O 0.608 0.608 0.140
O 0.104 0.641 0.104
O 0.386 0.386 0.855
O 0.359 0.887 0.887
O 0.887 0.887 0.359
O 0.378 0.378 0.378
O 0.608 0.140 0.608
O 0.887 0.359 0.887
O 0.386 0.855 0.386
O 0.119 0.119 0.119
O 0.620 0.620 0.620
O 0.855 0.386 0.386
O 0.641 0.104 0.104
Fe 0.746 0.251 0.251
Fe 0.807 0.807 0.807
Fe 0.189 0.189 0.189
Fe 0.687 0.687 0.687
Fe 0.251 0.746 0.251
Fe 0.996 0.996 0.996
Fe 0.245 0.747 0.747
Fe 0.747 0.245 0.747
Fe 0.251 0.251 0.746
Fe 0.747 0.747 0.245
Li 0.498 0.498 0.498
Mg 0.307 0.307 0.307
CELL_PARAMETERS angstrom
1.108 2.712 9.794
-4.647 3.019 8.590
-2.155 -2.188 9.750
! - Crystal system: trigonal


(5)
! Li10Mg12FeP12O48 | Alexandria via LeMat-Bulk | PBE+U | optimized geometry; values from VASP
&SYSTEM
  ibrav = 0, nat = 83, ntyp = 5
/
ATOMIC_SPECIES
O 16.00 O.upf
Mg 24.30 Mg.upf
Li 6.94 Li.upf
P 30.97 P.upf
Fe 55.84 Fe.upf
ATOMIC_POSITIONS crystal
O 0.456 0.335 0.405
O 0.751 0.454 0.934
O 0.949 0.668 0.262
O 0.051 0.332 0.738
O 0.538 0.666 0.256
O 0.252 0.899 0.914
O 0.458 0.833 0.427
O 0.542 0.167 0.573
O 0.747 0.455 0.268
O 0.253 0.545 0.394
O 0.542 0.166 0.239
O 0.047 0.834 0.427
O 0.748 0.101 0.086
O 0.462 0.334 0.744
O 0.458 0.834 0.761
O 0.248 0.046 0.100
O 0.047 0.835 0.762
O 0.752 0.604 0.750
O 0.250 0.899 0.581
O 0.752 0.954 0.900
O 0.544 0.665 0.595
O 0.752 0.102 0.753
O 0.251 0.046 0.434
O 0.748 0.953 0.232
O 0.248 0.396 0.250
O 0.957 0.667 0.928
O 0.545 0.667 0.928
O 0.956 0.167 0.906
O 0.248 0.898 0.247
O 0.953 0.676 0.599
O 0.249 0.546 0.066
O 0.455 0.333 0.072
O 0.953 0.165 0.238
O 0.750 0.601 0.081
O 0.729 0.606 0.412
O 0.044 0.833 0.094
O 0.252 0.047 0.768
O 0.047 0.324 0.401
O 0.545 0.166 0.907
O 0.953 0.166 0.573
O 0.043 0.333 0.072
O 0.271 0.394 0.588
O 0.253 0.545 0.732
O 0.750 0.101 0.419
O 0.250 0.399 0.919
O 0.749 0.954 0.566
O 0.747 0.455 0.606
O 0.455 0.834 0.093
Mg 0.248 0.221 0.171
Mg 0.245 0.723 0.327
Mg 0.755 0.277 0.673
Mg 0.752 0.277 0.338
Mg 0.243 0.221 0.505
Mg 0.750 0.278 0.005
Mg 0.250 0.722 0.995
Mg 0.752 0.779 0.829
Mg 0.252 0.221 0.840
Mg 0.748 0.779 0.160
Mg 0.757 0.779 0.495
Mg 0.248 0.723 0.662
Li 0.500 0.000 0.000
Li 0.500 0.000 0.666
Li 0.000 0.999 0.667
Li 0.998 0.499 0.166
Li 0.000 0.001 0.333
Li 0.500 0.000 0.334
Li 0.002 0.501 0.834
Li 0.504 0.500 0.834
Li 0.496 0.500 0.166
Li 0.000 0.000 0.000
P 0.751 0.595 0.973
P 0.741 0.597 0.305
P 0.243 0.402 0.358
P 0.757 0.598 0.642
P 0.748 0.094 0.193
P 0.249 0.905 0.139
P 0.252 0.905 0.473
P 0.249 0.405 0.027
P 0.751 0.095 0.861
P 0.748 0.095 0.527
P 0.252 0.906 0.807
P 0.259 0.403 0.695
Fe 0.500 0.500 0.500
CELL_PARAMETERS angstrom
-5.843 1.234 -0.114
-0.607 -1.802 10.098
2.772 13.736 2.651
! - Crystal system: triclinic
! - DOS(E_F): 0.000 states/eV/f.u.


We obtain raw total energy values of -5.989, -5.918, -5.989, -6.224, -6.707 eV per atom for the records listed above, in that order.